No. 1
Li2CaPr2In2 | PBE | optimized geometry

Its theoretical density is 4.79 Mg/m³. Its total energy is -3.22 eV/atom. The value obtained for the density of states at the Fermi level is 13.37 states/eV/cell. The total magnetization is 0.000 μB per cell.

It has space group R-3m (No. 166, hexagonal axes), with a = 4.9545 Å, b = 4.9545 Å, c = 27.6709 Å, α = 90.00°, β = 90.00° and γ = 120.00°. The distinct sites, in fractional coordinates, are Li at (0.0000, 0.0000, 0.1092), Ca at (0.0000, 0.0000, 0.5000), Pr at (0.0000, 0.0000, 0.3716) and In at (0.0000, 0.0000, 0.2391).

---

No. 2
Bi2PbS4 | PBE | optimized geometry

Its theoretical density is 6.68 Mg/m³. For the uncorrected formation energy, the calculation gives -39.6 kJ per mole of atoms. The total magnetization is 0.000 μB per cell.

It has space group Pnma (No. 62), with a = 12.3748 Å, b = 4.0641 Å, c = 14.8852 Å, α = 90.00°, β = 90.00° and γ = 90.00°. The distinct sites, in fractional coordinates, are Bi at (0.0638, 0.2500, 0.1086), Bi at (0.0795, 0.2500, 0.6005), Pb at (0.2188, 0.2500, 0.3325), S at (0.0061, 0.7500, 0.7121), S at (0.0833, 0.2500, 0.9169), S at (0.1320, 0.7500, 0.4708) and S at (0.2135, 0.7500, 0.1869).

---

No. 3
CaPdPb | PBE | optimized geometry

Its theoretical density is 8.26 Mg/m³. Its total energy is -4.26 eV/atom. The value obtained for the density of states at the Fermi level is 3.30 states/eV/cell. The total magnetization is 0.000 μB per cell.

It has space group P-62m (No. 189), with a = 8.0304 Å, b = 8.0304 Å, c = 3.8194 Å, α = 90.00°, β = 90.00° and γ = 120.00°. The distinct sites, in fractional coordinates, are Ca at (0.0000, 0.6034, 0.0000), Pd at (0.0000, 0.0000, 0.0000), Pd at (0.3333, 0.6667, 0.5000) and Pb at (0.0000, 0.2736, 0.5000).

---

No. 4
LaTbSm6 | PBE | optimized geometry

As for the energy above the most stable polymorph in this dataset: 0.0 kJ/mol of atoms. Its theoretical density is 7.33 Mg/m³. The value obtained for the density of states at the Fermi level is 13.36 states/eV/cell. The total magnetization is 0.000 μB per cell.

It has space group P4/mmm (No. 123), with a = 5.1391 Å, b = 5.1391 Å, c = 10.2881 Å, α = 90.00°, β = 90.00° and γ = 90.00°. The distinct sites, in fractional coordinates, are La at (0.0000, 0.0000, 0.0000), Tb at (0.0000, 0.0000, 0.5000), Sm at (0.0000, 0.5000, 0.2535), Sm at (0.5000, 0.5000, 0.0000) and Sm at (0.5000, 0.5000, 0.5000).

---

No. 5
InTeN2 | PBE | optimized geometry

As for the energy above the most stable polymorph in this dataset: 0.0 kJ/mol of atoms. Its theoretical density is 6.82 Mg/m³. The value obtained for the density of states at the Fermi level is 4.04 states/eV/cell. For the uncorrected formation energy, the calculation gives 65.9 kJ per mole of atoms. The total magnetization is 0.000 μB per cell.

It has space group R-3m (No. 166, hexagonal axes), with a = 3.4482 Å, b = 3.4482 Å, c = 19.1854 Å, α = 90.00°, β = 90.00° and γ = 120.00°. The distinct sites, in fractional coordinates, are In at (0.0000, 0.0000, 0.0000), Te at (0.0000, 0.0000, 0.5000) and N at (0.0000, 0.0000, 0.3923).

---

No. 6
LaHo2Th3 | PBE | optimized geometry

Its theoretical density is 9.91 Mg/m³. Its total energy is -6.01 eV/atom. The value obtained for the density of states at the Fermi level is 38.45 states/eV/cell. The total magnetization is 0.000 μB per cell.

It has space group C2/c (No. 15), with a = 17.5723 Å, b = 7.1377 Å, c = 6.2231 Å, α = 90.00°, β = 90.38° and γ = 90.00°. The distinct sites, in fractional coordinates, are La at (0.0000, 0.1328, 0.2500), Ho at (0.1703, 0.1273, 0.5853), Th at (0.0000, 0.3779, 0.7500) and Th at (0.1660, 0.3802, 0.0800).

---

No. 7
MgTiN | PBE | optimized geometry

As for the energy above the most stable polymorph in this dataset: 11.9 kJ/mol of atoms. Its theoretical density is 3.51 Mg/m³. The value obtained for the density of states at the Fermi level is 3.17 states/eV/cell. For the uncorrected formation energy, the calculation gives -79.5 kJ per mole of atoms. The total magnetization is 0.000 μB per cell.

It has space group P2_1/m (No. 11), with a = 4.9358 Å, b = 3.1196 Å, c = 5.2939 Å, α = 90.00°, β = 90.34° and γ = 90.00°. The distinct sites, in fractional coordinates, are Mg at (0.2456, 0.2500, 0.0889), Ti at (0.2311, 0.7500, 0.5704) and N at (0.0335, 0.2500, 0.7325).

---

No. 8
YAlNF2 | PBE | optimized geometry

As for the energy above the most stable polymorph in this dataset: 40.8 kJ/mol of atoms. Its theoretical density is 3.18 Mg/m³. The value obtained for the density of states at the Fermi level is 1.88 states/eV/cell. For the uncorrected formation energy, the calculation gives -154.1 kJ per mole of atoms. The total magnetization is 0.468 μB per cell.

It has space group P4/mmm (No. 123), with a = 4.3178 Å, b = 4.3178 Å, c = 4.7077 Å, α = 90.00°, β = 90.00° and γ = 90.00°. The distinct sites, in fractional coordinates, are Y at (0.0000, 0.0000, 0.0000), Al at (0.5000, 0.5000, 0.5000), N at (0.0000, 0.0000, 0.5000) and F at (0.0000, 0.5000, 0.0000).

---

No. 9
CsLiMn2I6 | PBE | optimized geometry

Its theoretical density is 3.65 Mg/m³. The value obtained for the density of states at the Fermi level is 0.00 states/eV/cell. For the uncorrected formation energy, the calculation gives -77.4 kJ per mole of atoms. The total magnetization is 40.000 μB per cell.

It has space group C2/c (No. 15), with a = 15.6192 Å, b = 15.1039 Å, c = 8.3763 Å, α = 90.00°, β = 111.29° and γ = 90.00°. The distinct sites, in fractional coordinates, are Cs at (0.0000, 0.1806, 0.2500), Li at (0.0000, 0.3327, 0.7500), Mn at (0.2272, 0.0921, 0.8183), I at (0.0920, 0.4012, 0.0858), I at (0.1508, 0.0263, 0.0451) and I at (0.1520, 0.2497, 0.7023).

---

No. 10
AcCdHgPd | PBE | optimized geometry

Its theoretical density is 10.26 Mg/m³. Its total energy is -3.14 eV/atom. The value obtained for the density of states at the Fermi level is 5.33 states/eV/cell. The total magnetization is 0.000 μB per cell.

It has space group Cm (No. 8), with a = 8.4578 Å, b = 4.8936 Å, c = 5.7961 Å, α = 90.00°, β = 119.29° and γ = 90.00°. The distinct sites, in fractional coordinates, are Ac at (0.0000, 0.0000, 0.0000), Cd at (0.0261, 0.5000, 0.5795), Hg at (0.2821, 0.5000, 0.3468) and Pd at (0.2082, 0.0000, 0.6265).

---

No. 11
MnMoAu2 | PBE | optimized geometry

As for the energy above the most stable polymorph in this dataset: 9.6 kJ/mol of atoms. Its theoretical density is 13.65 Mg/m³. The value obtained for the density of states at the Fermi level is 7.48 states/eV/cell. The total magnetization is 6.908 μB per cell.

It has space group Cmmm (No. 65), with a = 5.8421 Å, b = 8.1804 Å, c = 2.7728 Å, α = 90.00°, β = 90.00° and γ = 90.00°. The distinct sites, in fractional coordinates, are Mn at (0.0000, 0.0000, 0.0000), Mo at (0.0000, 0.5000, 0.0000) and Au at (0.2500, 0.2500, 0.5000).

---

No. 12
TiSeBr2F | PBE | optimized geometry

As for the energy above the most stable polymorph in this dataset: 0.0 kJ/mol of atoms. Its theoretical density is 4.13 Mg/m³. The value obtained for the density of states at the Fermi level is 9.76 states/eV/cell. For the uncorrected formation energy, the calculation gives -61.5 kJ per mole of atoms. The total magnetization is 0.005 μB per cell.

It has space group P4/mmm (No. 123), with a = 4.9957 Å, b = 4.9957 Å, c = 4.9190 Å, α = 90.00°, β = 90.00° and γ = 90.00°. The distinct sites, in fractional coordinates, are Ti at (0.0000, 0.0000, 0.0000), Se at (0.0000, 0.0000, 0.5000), Br at (0.0000, 0.5000, 0.0000) and F at (0.5000, 0.5000, 0.5000).